Entry a
Material: Ag2SO
Method: DFT, PBE
State: relaxed

```
Ag2SO
1.0
5.674 -0.002 0.350
-0.002 5.840 0.000
0.173 0.000 8.917
S Ag O
4 8 4
Cartesian
3.837 3.433 2.558
1.644 0.551 3.123
4.200 3.470 6.144
2.007 0.515 6.708
3.087 4.937 4.499
2.757 2.017 4.767
2.814 1.543 1.195
5.560 2.129 3.557
0.222 1.588 8.036
0.285 5.049 5.709
5.623 4.506 1.234
3.032 4.463 8.075
1.645 5.609 0.435
1.324 2.979 0.082
4.202 2.687 8.834
4.524 0.056 9.174
```

Summary:
**Calculated density**: 5.94 g/cm3

---

Entry b
Material: Ag2SO
Method: DFT, PBE
State: relaxed

```
Ag2SO
1.0
6.406 0.000 0.000
0.000 3.396 0.000
0.000 0.000 12.034
Ag S O
8 4 4
Cartesian
2.932 2.547 9.038
4.850 2.547 5.812
4.759 0.849 11.829
1.647 2.547 0.205
3.474 0.849 2.997
0.271 0.849 3.021
1.556 0.849 6.222
6.135 2.547 9.014
1.887 2.547 4.509
5.090 2.547 1.508
1.316 0.849 10.526
4.519 0.849 7.525
4.535 2.547 10.467
5.074 0.849 4.450
1.871 0.849 1.567
1.332 2.547 7.584
```

Summary:
**Calculated density**: 6.69 g/cm3

---

Entry c
Material: Ag2SO
Method: DFT, PBE
State: relaxed

```
Ag2SO
1.0
-2.395 -1.999 1.585
3.359 -0.981 -0.023
1.896 6.237 10.733
S O Ag
2 2 4
Cartesian
2.624 2.571 7.209
-0.242 -0.887 2.378
1.563 5.142 8.849
0.615 2.024 3.482
0.939 2.998 9.063
1.908 0.219 3.161
0.934 3.072 5.287
1.882 6.191 10.653
```

Summary:
**Calculated density**: 6.58 g/cm3

---

Tell me which of them is the most stable. Sure, it is entry b.